Record 1
Here is a crystal of NaCl3 relaxed with PBEsol from the Alexandria database. Energies are from SCAN.

Output
Crystal system: orthorhombic
Energy above the most stable polymorph in this dataset: 16 meV per atom
ΔE_f (raw): -952 meV/atom
Spin magnetization: 0.000 μB/f.u.
DOS at the Fermi energy: 0.00 states/eV/f.u.

abc: 8.2901 5.6172 7.9052
angles: 90.00 90.00 90.00
Last column: nearest neighbours and their distance in Å.
Space group Pnma (No. 62)
Inequivalent atoms, fractional coordinates:
Na: 0.1791 0.2500 0.0420  3 Cl 2.81-2.87
Cl: 0.0778 0.7500 0.2827  1 Cl 2.16
Cl: 0.1262 0.2500 0.5474  1 Cl 2.16
Cl: 0.1452 0.7500 0.8533  1 Cl 2.44

Record 2
Here is a crystal of NaCl3 relaxed with PBEsol from the Alexandria database. Energies are from SCAN.

Output
Crystal system: trigonal
Energy above the most stable polymorph in this dataset: 0 meV per atom
ΔE_f (raw): -967 meV/atom
Spin magnetization: 0.000 μB/f.u.
DOS at the Fermi energy: 0.00 states/eV/f.u.

abc: 4.3557 4.3557 21.2418
angles: 90.00 90.00 120.00
Last column: nearest neighbours and their distance in Å.
Space group R-3m (No. 166, hexagonal axes)
Inequivalent atoms, fractional coordinates:
Na: 0.0000 0.0000 0.0000  6 Cl 2.82
Cl: 0.0000 0.0000 0.3930  1 Cl 2.27
Cl: 0.0000 0.0000 0.5000  2 Cl 2.27

Record 3
Here is a crystal of NaNbPCl2 relaxed with PBEsol from the Alexandria database. Energies are from SCAN.

Output
Crystal system: tetragonal
ΔE_f (raw): 346 meV/atom
Spin magnetization: 0.999 μB/f.u.
DOS at the Fermi energy: 2.93 states/eV/f.u.

abc: 4.5618 4.5618 5.2536
angles: 90.00 90.00 90.00
Last column: nearest neighbours and their distance in Å.
Space group P4/mmm (No. 123)
Inequivalent atoms, fractional coordinates:
Na: 0.0000 0.0000 0.0000  4 Cl 2.28
Nb: 0.5000 0.5000 0.5000  4 P 3.23, 8 Cl 3.48
P: 0.0000 0.0000 0.5000  2 Na 2.63
Cl: 0.0000 0.5000 0.0000  2 Na 2.28

Record 4
Here is a crystal of Rb2NaNdCl6 relaxed with PBEsol from the Alexandria database. Energies are from SCAN.

Output
Crystal system: cubic
ΔE_f (raw): -2316 meV/atom
Spin magnetization: 0.000 μB/f.u.
DOS at the Fermi energy: 0.00 states/eV/f.u.

abc: 10.7567 10.7567 10.7567
angles: 90.00 90.00 90.00
Last column: nearest neighbours and their distance in Å.
Space group Fm-3m (No. 225)
Inequivalent atoms, fractional coordinates:
Rb: 0.2500 0.2500 0.2500  12 Cl 3.80
Na: 0.0000 0.0000 0.0000  6 Cl 2.69
Nd: 0.0000 0.0000 0.5000  6 Cl 2.69
Cl: 0.0000 0.0000 0.2500  1 Nd 2.69, 1 Na 2.69

Record 5
Here is a crystal of NaNi3Cl relaxed with PBEsol from the Alexandria database. Energies are from SCAN.

Output
Crystal system: cubic
ΔE_f (raw): 524 meV/atom
Spin magnetization: 0.000 μB/f.u.
DOS at the Fermi energy: 0.55 states/eV/f.u.

abc: 4.1544 4.1544 4.1544
angles: 90.00 90.00 90.00
Last column: nearest neighbours and their distance in Å.
Space group Pm-3m (No. 221)
Inequivalent atoms, fractional coordinates:
Na: 0.0000 0.0000 0.0000  12 Ni 2.94
Ni: 0.0000 0.5000 0.5000  2 Cl 2.08
Cl: 0.5000 0.5000 0.5000  6 Ni 2.08

Record 6
Here is a crystal of NaNi2PCl relaxed with PBEsol from the Alexandria database. Energies are from SCAN.

Output
Crystal system: tetragonal
ΔE_f (raw): -264 meV/atom
Spin magnetization: 0.003 μB/f.u.
DOS at the Fermi energy: 2.08 states/eV/f.u.

abc: 4.0758 4.0758 5.8909
angles: 90.00 90.00 90.00
Last column: nearest neighbours and their distance in Å.
Space group P4/mmm (No. 123)
Inequivalent atoms, fractional coordinates:
Na: 0.0000 0.0000 0.0000  4 Cl 2.88
Ni: 0.0000 0.5000 0.5000  2 P 2.04
P: 0.5000 0.5000 0.5000  4 Ni 2.04
Cl: 0.5000 0.5000 0.0000  4 Na 2.88, 2 P 2.95

Record 7
Here is a crystal of NaP2ClO relaxed with PBEsol from the Alexandria database. Energies are from SCAN.

Output
Crystal system: tetragonal
ΔE_f (raw): 1282 meV/atom
Spin magnetization: 0.777 μB/f.u.
DOS at the Fermi energy: 4.43 states/eV/f.u.

abc: 4.8923 4.8923 3.9201
angles: 90.00 90.00 90.00
Last column: nearest neighbours and their distance in Å.
Space group P4/mmm (No. 123)
Inequivalent atoms, fractional coordinates:
Na: 0.0000 0.0000 0.0000  2 O 1.96
P: 0.0000 0.5000 0.0000  2 Na 2.45
Cl: 0.5000 0.5000 0.5000  8 P 3.13, 4 O 3.46
O: 0.0000 0.0000 0.5000  2 Na 1.96

Record 8
Here is a crystal of Na9ZrP4ClO16 relaxed with PBEsol from the Alexandria database. Energies are from SCAN.

Output
Crystal system: triclinic
ΔE_f (raw): -2582 meV/atom
Spin magnetization: 0.099 μB/f.u.
DOS at the Fermi energy: 0.00 states/eV/f.u.

abc: 5.3805 9.0455 9.1433
angles: 111.03 91.67 90.48
Last column: nearest neighbours and their distance in Å.
Space group P1 (No. 1)
Inequivalent atoms, fractional coordinates:
Na: 0.0000 0.0000 0.0000  4 O 2.24-2.36
Na: 0.0002 0.4582 0.3740  4 O 2.37-2.49
Na: 0.4006 0.5444 0.0014  4 O 2.36-2.49
Na: 0.4203 0.9221 0.4105  4 O 2.32-2.50
Na: 0.5084 0.7913 0.7411  4 O 2.39-2.58
Na: 0.5239 0.1954 0.1654  3 O 2.33-2.43
Na: 0.9049 0.3394 0.9633  4 O 2.30-2.39
Na: 0.9231 0.7190 0.1902  4 O 2.22-2.40
Na: 0.9332 0.9175 0.6157  4 O 2.31-2.45
Zr: 0.4737 0.3616 0.5904  6 O 2.04-2.10
P: 0.4387 0.1454 0.8268  4 O 1.54-1.60
P: 0.5102 0.5680 0.3276  4 O 1.54-1.59
P: 0.9450 0.1292 0.3921  4 O 1.52-1.58
P: 0.9944 0.6065 0.7772  4 O 1.52-1.58
Cl: 0.4816 0.8653 0.0848  6 Na 2.75-3.07
O: 0.0002 0.9581 0.3700  1 P 1.52
O: 0.1474 0.2387 0.5089  1 P 1.57
O: 0.2550 0.1946 0.9611  1 P 1.54
O: 0.2575 0.6118 0.2739  1 P 1.54
O: 0.2610 0.5599 0.7091  1 P 1.58
O: 0.3385 0.0092 0.6807  1 P 1.54
O: 0.4577 0.4306 0.3941  1 P 1.59
O: 0.4894 0.3018 0.7877  1 P 1.60
O: 0.6424 0.7094 0.4550  1 P 1.54
O: 0.6807 0.4936 0.1869  1 P 1.55
O: 0.6835 0.1669 0.4695  1 P 1.58
O: 0.6916 0.1003 0.8806  1 P 1.54
O: 0.7977 0.4969 0.6557  1 P 1.57
O: 0.9383 0.1739 0.2459  1 P 1.53
O: 0.9493 0.7765 0.7893  1 P 1.52
O: 0.9839 0.5757 0.9308  1 P 1.53

Record 9
Here is a crystal of Na3Pb2S3ClO12 relaxed with PBEsol from the Alexandria database. Energies are from SCAN.

Output
Crystal system: monoclinic
ΔE_f (raw): -1816 meV/atom
Spin magnetization: 0.000 μB/f.u.
DOS at the Fermi energy: 0.00 states/eV/f.u.

abc: 9.7672 7.0286 9.8516
angles: 90.00 119.54 90.00
Last column: nearest neighbours and their distance in Å.
Space group P2_1/m (No. 11)
Inequivalent atoms, fractional coordinates:
Na: 0.1591 0.0073 0.3204  6 O 2.49-2.56
Na: 0.2362 0.2500 0.9835  3 O 2.29-2.53
Pb: 0.2483 0.7500 0.7483  5 O 2.44-2.65
Pb: 0.4934 0.7500 0.2412  5 O 2.45-2.56
S: 0.0826 0.2500 0.6134  4 O 1.47-1.50
S: 0.1259 0.7500 0.0342  4 O 1.48-1.50
S: 0.4656 0.7500 0.5819  4 O 1.47-1.50
Cl: 0.5000 0.0000 0.0000  4 Pb 2.98-3.04, 2 Na 3.06, 6 O 3.17-3.28
O: 0.0254 0.7500 0.8617  1 S 1.49
O: 0.0307 0.7500 0.1131  1 S 1.48
O: 0.0940 0.7500 0.4643  1 S 1.50
O: 0.1339 0.2500 0.4955  1 S 1.47
O: 0.1410 0.0801 0.7165  1 S 1.49
O: 0.2319 0.5789 0.0858  1 S 1.50
O: 0.3648 0.2500 0.3628  1 S 1.47
O: 0.3720 0.7500 0.4074  1 S 1.50
O: 0.4162 0.5802 0.6389  1 S 1.50

Record 10
Here is a crystal of Na5S3ClO12 relaxed with PBEsol from the Alexandria database. Energies are from SCAN.

Output
Crystal system: hexagonal
ΔE_f (raw): -1771 meV/atom
Spin magnetization: 2.058 μB/f.u.
DOS at the Fermi energy: 8.89 states/eV/f.u.

abc: 9.7245 9.7245 6.7318
angles: 90.00 90.00 120.00
Last column: nearest neighbours and their distance in Å.
Space group P6_3/m (No. 176)
Inequivalent atoms, fractional coordinates:
Na: 0.0066 0.7469 0.2500  5 O 2.34-2.56
Na: 0.3333 0.6667 0.5089  6 O 2.42-2.52
S: 0.0276 0.4030 0.2500  4 O 1.47-1.49
Cl: 0.0000 0.0000 0.0000  6 Na 3.01, 6 O 3.13, 2 Cl 3.37
O: 0.0788 0.3499 0.0717  1 S 1.49
O: 0.1182 0.5802 0.2500  1 S 1.49
O: 0.1445 0.6585 0.7500  1 S 1.47

Record 11
Here is a crystal of NaOsCl3 relaxed with PBEsol from the Alexandria database. Energies are from SCAN.

Output
Crystal system: cubic
ΔE_f (raw): -414 meV/atom
Spin magnetization: 0.993 μB/f.u.
DOS at the Fermi energy: 3.44 states/eV/f.u.

abc: 4.7734 4.7734 4.7734
angles: 90.00 90.00 90.00
Last column: nearest neighbours and their distance in Å.
Space group Pm-3m (No. 221)
Inequivalent atoms, fractional coordinates:
Na: 0.0000 0.0000 0.0000  12 Cl 3.38
Os: 0.5000 0.5000 0.5000  6 Cl 2.39
Cl: 0.0000 0.5000 0.5000  2 Os 2.39

Record 12
Here is a crystal of Na3OsCl relaxed with PBEsol from the Alexandria database. Energies are from SCAN.

Output
Crystal system: cubic
ΔE_f (raw): 716 meV/atom
Spin magnetization: 2.181 μB/f.u.
DOS at the Fermi energy: 6.87 states/eV/f.u.

abc: 5.6071 5.6071 5.6071
angles: 90.00 90.00 90.00
Last column: nearest neighbours and their distance in Å.
Space group Pm-3m (No. 221)
Inequivalent atoms, fractional coordinates:
Na: 0.0000 0.0000 0.5000  2 Os 2.80
Os: 0.0000 0.0000 0.0000  6 Na 2.80
Cl: 0.5000 0.5000 0.5000  12 Na 3.96

Record 13
Here is a crystal of NaPOsCl2 relaxed with PBEsol from the Alexandria database. Energies are from SCAN.

Output
Crystal system: tetragonal
Energy above the most stable polymorph in this dataset: 0 meV per atom
ΔE_f (raw): -235 meV/atom
Spin magnetization: 0.001 μB/f.u.
DOS at the Fermi energy: 1.56 states/eV/f.u.

abc: 5.0264 5.0264 4.4081
angles: 90.00 90.00 90.00
Last column: nearest neighbours and their distance in Å.
Space group P4/mmm (No. 123)
Inequivalent atoms, fractional coordinates:
Na: 0.0000 0.0000 0.0000  8 Cl 3.34, 4 P 3.55
P: 0.5000 0.5000 0.0000  2 Os 2.20
Os: 0.5000 0.5000 0.5000  2 P 2.20
Cl: 0.0000 0.5000 0.5000  2 Os 2.51

Record 14
Here is a crystal of NaPOsCl2 relaxed with PBEsol from the Alexandria database. Energies are from SCAN.

Output
Crystal system: tetragonal
Energy above the most stable polymorph in this dataset: 1441 meV per atom
ΔE_f (raw): 1206 meV/atom
Spin magnetization: 5.282 μB/f.u.
DOS at the Fermi energy: 1.76 states/eV/f.u.

abc: 4.5984 4.5984 5.2961
angles: 90.00 90.00 90.00
Last column: nearest neighbours and their distance in Å.
Space group P4/mmm (No. 123)
Inequivalent atoms, fractional coordinates:
Na: 0.0000 0.0000 0.0000  4 Cl 2.30
P: 0.0000 0.0000 0.5000  2 Na 2.65
Os: 0.5000 0.5000 0.5000  4 P 3.25, 8 Cl 3.51
Cl: 0.0000 0.5000 0.0000  2 Na 2.30

Record 15
Here is a crystal of NaP2OsCl relaxed with PBEsol from the Alexandria database. Energies are from SCAN.

Output
Crystal system: tetragonal
Energy above the most stable polymorph in this dataset: 1975 meV per atom
ΔE_f (raw): 1934 meV/atom
Spin magnetization: 2.876 μB/f.u.
DOS at the Fermi energy: 3.97 states/eV/f.u.

abc: 4.7581 4.7581 4.4865
angles: 90.00 90.00 90.00
Last column: nearest neighbours and their distance in Å.
Space group P4/mmm (No. 123)
Inequivalent atoms, fractional coordinates:
Na: 0.0000 0.0000 0.0000  2 Cl 2.24, 4 P 2.38
P: 0.0000 0.5000 0.0000  2 Na 2.38
Os: 0.5000 0.5000 0.5000  8 P 3.27, 4 Cl 3.36
Cl: 0.0000 0.0000 0.5000  2 Na 2.24

Record 16
Here is a crystal of NaP2OsCl relaxed with PBEsol from the Alexandria database. Energies are from SCAN.

Output
Crystal system: tetragonal
Energy above the most stable polymorph in this dataset: 0 meV per atom
ΔE_f (raw): -42 meV/atom
Spin magnetization: 0.000 μB/f.u.
DOS at the Fermi energy: 2.10 states/eV/f.u.

abc: 4.4551 4.4551 5.5688
angles: 90.00 90.00 90.00
Last column: nearest neighbours and their distance in Å.
Space group P4/mmm (No. 123)
Inequivalent atoms, fractional coordinates:
Na: 0.0000 0.0000 0.0000  4 Cl 3.15
P: 0.0000 0.5000 0.5000  2 Os 2.23
Os: 0.5000 0.5000 0.5000  4 P 2.23
Cl: 0.5000 0.5000 0.0000  2 Os 2.78

Record 17
Here is a crystal of NaYOs2Cl relaxed with PBEsol from the Alexandria database. Energies are from SCAN.

Output
Crystal system: tetragonal
ΔE_f (raw): 1350 meV/atom
Spin magnetization: 3.966 μB/f.u.
DOS at the Fermi energy: 3.40 states/eV/f.u.

abc: 5.0564 5.0564 5.3124
angles: 90.00 90.00 90.00
Last column: nearest neighbours and their distance in Å.
Space group P4/mmm (No. 123)
Inequivalent atoms, fractional coordinates:
Na: 0.0000 0.0000 0.0000  4 Cl 3.58, 8 Os 3.67
Y: 0.5000 0.5000 0.5000  4 Os 2.53, 2 Cl 2.66
Os: 0.0000 0.5000 0.5000  2 Y 2.53
Cl: 0.5000 0.5000 0.0000  2 Y 2.66

Record 18
Here is a crystal of NaPPbCl2 relaxed with PBEsol from the Alexandria database. Energies are from SCAN.

Output
Crystal system: tetragonal
ΔE_f (raw): -442 meV/atom
Spin magnetization: 1.209 μB/f.u.
DOS at the Fermi energy: 3.08 states/eV/f.u.

abc: 5.5489 5.5489 5.3019
angles: 90.00 90.00 90.00
Last column: nearest neighbours and their distance in Å.
Space group P4/mmm (No. 123)
Inequivalent atoms, fractional coordinates:
Na: 0.0000 0.0000 0.0000  8 Cl 3.84, 4 P 3.92
P: 0.5000 0.5000 0.0000  2 Pb 2.65
Pb: 0.5000 0.5000 0.5000  2 P 2.65, 4 Cl 2.77
Cl: 0.0000 0.5000 0.5000  2 Pb 2.77

Record 19
Here is a crystal of NaP2PdCl relaxed with PBEsol from the Alexandria database. Energies are from SCAN.

Output
Crystal system: tetragonal
ΔE_f (raw): -85 meV/atom
Spin magnetization: 0.232 μB/f.u.
DOS at the Fermi energy: 1.52 states/eV/f.u.

abc: 4.3944 4.3944 6.9229
angles: 90.00 90.00 90.00
Last column: nearest neighbours and their distance in Å.
Space group P4/mmm (No. 123)
Inequivalent atoms, fractional coordinates:
Na: 0.0000 0.0000 0.0000  4 Cl 3.11
P: 0.0000 0.5000 0.5000  2 Pd 2.20
Pd: 0.5000 0.5000 0.5000  4 P 2.20
Cl: 0.5000 0.5000 0.0000  4 Na 3.11, 2 Pd 3.46

Record 20
Here is a crystal of NaSbPCl2 relaxed with PBEsol from the Alexandria database. Energies are from SCAN.

Output
Crystal system: tetragonal
ΔE_f (raw): -342 meV/atom
Spin magnetization: 0.433 μB/f.u.
DOS at the Fermi energy: 4.00 states/eV/f.u.

abc: 5.4213 5.4213 4.9354
angles: 90.00 90.00 90.00
Last column: nearest neighbours and their distance in Å.
Space group P4/mmm (No. 123)
Inequivalent atoms, fractional coordinates:
Na: 0.0000 0.0000 0.0000  8 Cl 3.67, 4 P 3.83
Sb: 0.5000 0.5000 0.5000  2 P 2.47, 4 Cl 2.71
P: 0.5000 0.5000 0.0000  2 Sb 2.47
Cl: 0.0000 0.5000 0.5000  2 Sb 2.71